Crystalline Ce3Nd2Tc2 at its relaxed geometry, computed with PBE.

Calculated values
ΔH_f (0 K)	-55.0	meV/atom
density	8.21	g/cm³
Fermi-level density of states	11.1	states/eV/cell
calculated total energy	-6.92	eV/atom
volume	26.156	Å³ per atom

CIF file:
```
data_Ce3Nd2Tc2
_cell_length_a 6.279
_cell_length_b 6.279
_cell_length_c 8.611
_cell_angle_alpha 110.81
_cell_angle_beta 110.81
_cell_angle_gamma 35.53
_symmetry_space_group_name_H-M 'P 1'
_symmetry_Int_Tables_number 1
_symmetry_space_group_name_Hall 'P 1'
loop_
_atom_site_label
_atom_site_type_symbol
_atom_site_fract_x
_atom_site_fract_y
_atom_site_fract_z
Ce1 Ce 0.000 0.000 0.000
Ce2 Ce 0.118 0.118 0.428
Ce3 Ce 0.882 0.882 0.572
Nd1 Nd 0.338 0.338 0.191
Nd2 Nd 0.662 0.662 0.809
Tc1 Tc 0.362 0.362 0.764
Tc2 Tc 0.638 0.638 0.236
```

Crystalline Sb2RhBr at its relaxed geometry, computed with PBE.

Calculated values
E_form (uncorrected)	0.14	eV per atom
density	7.23	g/cm³
Fermi-level density of states	2.4	states/eV/cell
calculated total energy	-4.18	eV/atom
distance to the lowest polymorph of the same formula	45.5	kJ per mole of atoms
volume	24.470	Å³ per atom

CIF file:
```
data_Sb2RhBr
_cell_length_a 5.567
_cell_length_b 5.567
_cell_length_c 3.170
_cell_angle_alpha 93.46
_cell_angle_beta 93.46
_cell_angle_gamma 89.88
_symmetry_space_group_name_H-M 'P 1'
_symmetry_Int_Tables_number 1
_symmetry_space_group_name_Hall 'P 1'
loop_
_atom_site_label
_atom_site_type_symbol
_atom_site_fract_x
_atom_site_fract_y
_atom_site_fract_z
Sb1 Sb 0.000 0.500 0.000
Sb2 Sb 0.500 0.000 0.000
Rh1 Rh 0.000 0.000 0.000
Br1 Br 0.500 0.500 0.000
```

Crystalline Ac6Ni2SnBr3 at its relaxed geometry, computed with PBE.

Calculated values
E_form (uncorrected)	-0.87	eV per atom
density	7.27	g/cm³
Fermi-level density of states	8.6	states/eV/cell
calculated total energy	-4.64	eV/atom
volume	34.960	Å³ per atom

CIF file:
```
data_Ac6Ni2SnBr3
_cell_length_a 10.376
_cell_length_b 10.376
_cell_length_c 9.655
_cell_angle_alpha 106.05
_cell_angle_beta 106.05
_cell_angle_gamma 24.88
_symmetry_space_group_name_H-M 'P 1'
_symmetry_Int_Tables_number 1
_symmetry_space_group_name_Hall 'P 1'
loop_
_atom_site_label
_atom_site_type_symbol
_atom_site_fract_x
_atom_site_fract_y
_atom_site_fract_z
Ac1 Ac 0.021 0.021 0.254
Ac2 Ac 0.320 0.320 0.448
Ac3 Ac 0.331 0.331 0.871
Ac4 Ac 0.669 0.669 0.129
Ac5 Ac 0.680 0.680 0.552
Ac6 Ac 0.979 0.979 0.746
Ni1 Ni 0.172 0.172 0.340
Ni2 Ni 0.828 0.828 0.660
Sn1 Sn 0.500 0.500 0.000
Br1 Br 0.155 0.155 0.829
Br2 Br 0.500 0.500 0.500
Br3 Br 0.845 0.845 0.171
```

Crystalline NaVCr2Ni at its relaxed geometry, computed with PBE.

Calculated values
ΔH_f (0 K)	1051.1	meV/atom
density	4.23	g/cm³
Fermi-level density of states	2.8	states/eV/cell
calculated total energy	-6.04	eV/atom
volume	18.592	Å³ per atom

CIF file:
```
data_NaVCr2Ni
_cell_length_a 4.563
_cell_length_b 4.563
_cell_length_c 4.466
_cell_angle_alpha 90.00
_cell_angle_beta 90.00
_cell_angle_gamma 90.00
_symmetry_space_group_name_H-M 'P 1'
_symmetry_Int_Tables_number 1
_symmetry_space_group_name_Hall 'P 1'
loop_
_atom_site_label
_atom_site_type_symbol
_atom_site_fract_x
_atom_site_fract_y
_atom_site_fract_z
Na1 Na 0.000 0.000 0.000
V1 V 0.500 0.500 0.500
Cr1 Cr 0.000 0.500 0.500
Cr2 Cr 0.500 0.000 0.500
Ni1 Ni 0.500 0.500 0.000
```

Crystalline SrPrRh at its relaxed geometry, computed with PBE.

Calculated values
ΔH_f (0 K)	-326.1	meV/atom
density	5.97	g/cm³
Fermi-level density of states	2.0	states/eV/cell
calculated total energy	-4.93	eV/atom
distance to the lowest polymorph of the same formula	1.4	kJ per mole of atoms
volume	30.745	Å³ per atom

CIF file:
```
data_SrPrRh
_cell_length_a 7.411
_cell_length_b 7.411
_cell_length_c 7.411
_cell_angle_alpha 151.54
_cell_angle_beta 151.54
_cell_angle_gamma 40.68
_symmetry_space_group_name_H-M 'P 1'
_symmetry_Int_Tables_number 1
_symmetry_space_group_name_Hall 'P 1'
loop_
_atom_site_label
_atom_site_type_symbol
_atom_site_fract_x
_atom_site_fract_y
_atom_site_fract_z
Sr1 Sr 0.000 0.000 0.000
Pr1 Pr 0.251 0.251 0.000
Rh1 Rh 0.646 0.646 0.000
```

Crystalline Na5In4Hg4 at its relaxed geometry, computed with PBE.

Calculated values
ΔH_f (0 K)	-165.4	meV/atom
density	6.28	g/cm³
Fermi-level density of states	4.1	states/eV/cell
calculated total energy	-1.61	eV/atom
volume	28.017	Å³ per atom

CIF file:
```
data_Na5In4Hg4
_cell_length_a 9.016
_cell_length_b 9.016
_cell_length_c 9.016
_cell_angle_alpha 94.11
_cell_angle_beta 94.11
_cell_angle_gamma 148.95
_symmetry_space_group_name_H-M 'P 1'
_symmetry_Int_Tables_number 1
_symmetry_space_group_name_Hall 'P 1'
loop_
_atom_site_label
_atom_site_type_symbol
_atom_site_fract_x
_atom_site_fract_y
_atom_site_fract_z
Na1 Na 0.000 0.000 0.000
Na2 Na 0.296 0.368 0.664
Na3 Na 0.368 0.704 0.072
Na4 Na 0.632 0.296 0.928
Na5 Na 0.704 0.632 0.336
In1 In 0.110 0.573 0.683
In2 In 0.427 0.110 0.537
In3 In 0.573 0.890 0.463
In4 In 0.890 0.427 0.317
Hg1 Hg 0.063 0.238 0.301
Hg2 Hg 0.238 0.937 0.175
Hg3 Hg 0.762 0.063 0.825
Hg4 Hg 0.937 0.762 0.699
```

Crystalline NpTaIr2 at its relaxed geometry, computed with PBE.

Calculated values
ΔH_f (0 K)	-215.1	meV/atom
density	17.11	g/cm³
Fermi-level density of states	9.2	states/eV/cell
calculated total energy	-10.84	eV/atom
distance to the lowest polymorph of the same formula	16.5	kJ per mole of atoms
volume	19.468	Å³ per atom

CIF file:
```
data_NpTaIr2
_cell_length_a 5.304
_cell_length_b 5.304
_cell_length_c 5.304
_cell_angle_alpha 48.93
_cell_angle_beta 48.93
_cell_angle_gamma 48.93
_symmetry_space_group_name_H-M 'P 1'
_symmetry_Int_Tables_number 1
_symmetry_space_group_name_Hall 'P 1'
loop_
_atom_site_label
_atom_site_type_symbol
_atom_site_fract_x
_atom_site_fract_y
_atom_site_fract_z
Np1 Np 0.000 0.000 0.000
Ta1 Ta 0.500 0.500 0.500
Ir1 Ir 0.222 0.222 0.222
Ir2 Ir 0.778 0.778 0.778
```

Crystalline RbTlAu2 at its relaxed geometry, computed with PBE.

Calculated values
ΔH_f (0 K)	-36.5	meV/atom
density	9.57	g/cm³
Fermi-level density of states	0.4	states/eV/cell
calculated total energy	-2.51	eV/atom
distance to the lowest polymorph of the same formula	15.2	kJ per mole of atoms
volume	29.664	Å³ per atom

CIF file:
```
data_RbTlAu2
_cell_length_a 5.540
_cell_length_b 5.540
_cell_length_c 3.866
_cell_angle_alpha 90.00
_cell_angle_beta 90.00
_cell_angle_gamma 90.00
_symmetry_space_group_name_H-M 'P 1'
_symmetry_Int_Tables_number 1
_symmetry_space_group_name_Hall 'P 1'
loop_
_atom_site_label
_atom_site_type_symbol
_atom_site_fract_x
_atom_site_fract_y
_atom_site_fract_z
Rb1 Rb 0.000 0.000 0.000
Tl1 Tl 0.500 0.500 0.000
Au1 Au 0.000 0.500 0.500
Au2 Au 0.500 0.000 0.500
```

Crystalline Pm2Nd at its relaxed geometry, computed with PBE.

Calculated values
ΔH_f (0 K)	9.8	meV/atom
density	6.92	g/cm³
Fermi-level density of states	8.6	states/eV/cell
calculated total energy	-4.75	eV/atom
distance to the lowest polymorph of the same formula	0.0	kJ per mole of atoms
volume	34.732	Å³ per atom

CIF file:
```
data_Pm2Nd
_cell_length_a 17.954
_cell_length_b 17.954
_cell_length_c 17.954
_cell_angle_alpha 11.74
_cell_angle_beta 11.74
_cell_angle_gamma 11.74
_symmetry_space_group_name_H-M 'P 1'
_symmetry_Int_Tables_number 1
_symmetry_space_group_name_Hall 'P 1'
loop_
_atom_site_label
_atom_site_type_symbol
_atom_site_fract_x
_atom_site_fract_y
_atom_site_fract_z
Pm1 Pm 0.139 0.139 0.139
Pm2 Pm 0.306 0.306 0.306
Pm3 Pm 0.694 0.694 0.694
Pm4 Pm 0.861 0.861 0.861
Nd1 Nd 0.417 0.417 0.417
Nd2 Nd 0.583 0.583 0.583
```

Crystalline UCdBr6 at its relaxed geometry, computed with PBE.

Calculated values
E_form (uncorrected)	-1.11	eV per atom
density	4.19	g/cm³
Fermi-level density of states	5.3	states/eV/cell
calculated total energy	-3.89	eV/atom
distance to the lowest polymorph of the same formula	0.0	kJ per mole of atoms
volume	41.133	Å³ per atom

CIF file:
```
data_UCdBr6
_cell_length_a 7.382
_cell_length_b 7.382
_cell_length_c 7.012
_cell_angle_alpha 90.81
_cell_angle_beta 90.81
_cell_angle_gamma 120.51
_symmetry_space_group_name_H-M 'P 1'
_symmetry_Int_Tables_number 1
_symmetry_space_group_name_Hall 'P 1'
loop_
_atom_site_label
_atom_site_type_symbol
_atom_site_fract_x
_atom_site_fract_y
_atom_site_fract_z
U1 U 0.000 0.000 0.000
Cd1 Cd 0.000 0.000 0.500
Br1 Br 0.001 0.299 0.758
Br2 Br 0.299 0.001 0.758
Br3 Br 0.301 0.301 0.255
Br4 Br 0.699 0.699 0.745
Br5 Br 0.701 0.999 0.242
Br6 Br 0.999 0.701 0.242
```

Crystalline Li2YPb at its relaxed geometry, computed with PBE.

Calculated values
ΔH_f (0 K)	-195.0	meV/atom
density	5.38	g/cm³
Fermi-level density of states	2.3	states/eV/cell
calculated total energy	-3.69	eV/atom
volume	23.913	Å³ per atom

CIF file:
```
data_Li2YPb
_cell_length_a 3.553
_cell_length_b 3.599
_cell_length_c 7.479
_cell_angle_alpha 90.00
_cell_angle_beta 90.00
_cell_angle_gamma 90.00
_symmetry_space_group_name_H-M 'P 1'
_symmetry_Int_Tables_number 1
_symmetry_space_group_name_Hall 'P 1'
loop_
_atom_site_label
_atom_site_type_symbol
_atom_site_fract_x
_atom_site_fract_y
_atom_site_fract_z
Li1 Li 0.000 0.000 0.000
Li2 Li 0.500 0.500 0.194
Y1 Y 0.000 0.000 0.495
Pb1 Pb 0.500 0.500 0.786
```

Crystalline AcLa3Co at its relaxed geometry, computed with PBE.

Calculated values
ΔH_f (0 K)	-57.2	meV/atom
density	6.74	g/cm³
Fermi-level density of states	25.6	states/eV/cell
calculated total energy	-5.26	eV/atom
distance to the lowest polymorph of the same formula	3.3	kJ per mole of atoms
volume	34.606	Å³ per atom

CIF file:
```
data_AcLa3Co
_cell_length_a 10.033
_cell_length_b 6.828
_cell_length_c 10.271
_cell_angle_alpha 90.00
_cell_angle_beta 100.35
_cell_angle_gamma 90.00
_symmetry_space_group_name_H-M 'P 1'
_symmetry_Int_Tables_number 1
_symmetry_space_group_name_Hall 'P 1'
loop_
_atom_site_label
_atom_site_type_symbol
_atom_site_fract_x
_atom_site_fract_y
_atom_site_fract_z
Ac1 Ac 0.068 0.079 0.182
Ac2 Ac 0.068 0.421 0.682
Ac3 Ac 0.932 0.579 0.318
Ac4 Ac 0.932 0.921 0.818
La1 La 0.179 0.589 0.048
La2 La 0.179 0.911 0.548
La3 La 0.315 0.071 0.928
La4 La 0.315 0.429 0.428
La5 La 0.444 0.577 0.823
La6 La 0.444 0.923 0.323
La7 La 0.556 0.077 0.677
La8 La 0.556 0.423 0.177
La9 La 0.685 0.571 0.572
La10 La 0.685 0.929 0.072
La11 La 0.821 0.089 0.452
La12 La 0.821 0.411 0.952
Co1 Co 0.422 0.740 0.569
Co2 Co 0.422 0.760 0.069
Co3 Co 0.578 0.240 0.931
Co4 Co 0.578 0.260 0.431
```